[1]
This record from the Alexandria database describes crystalline Tb5Pr3Nd3 at its relaxed geometry. The functional is PBE.

Cell and atoms, written as POSCAR:
```
Tb5Pr3Nd3
1.0
5.5919 0.0000 0.0000
0.0000 9.7464 0.0000
0.0000 -4.8732 8.4406
Tb Nd Pr
5 3 3
Cartesian
2.7959 1.3149 2.2774
2.7959 4.8732 2.8135
2.7959 0.0000 5.6271
2.7959 7.1167 0.0000
2.7959 -3.5583 6.1632
0.0000 -2.7861 4.8257
0.0000 2.0871 3.6149
0.0000 5.5723 0.0000
2.7959 3.0933 5.3578
2.7959 -1.7799 3.0828
2.7959 3.5597 0.0000
```

Values from the calculation:
- formation energy from the elements (meV/atom) = 742
- SG = No. 189

=====

[2]
This record from the Alexandria database describes crystalline Tb2Pr5Nd2 at its relaxed geometry. The functional is PBE.

Cell and atoms, written as POSCAR:
```
Tb2Pr5Nd2
1.0
12.0540 0.0000 0.0000
0.0000 6.9612 0.0000
-6.0270 -3.4806 7.5768
Pr Nd Tb
10 4 4
Cartesian
-2.9147 2.8501 3.7884
2.8192 -0.8508 2.1675
-3.0432 1.4737 6.7704
3.2078 2.6298 2.1675
8.9417 -0.6305 3.7884
9.0108 1.4737 0.8064
-2.9838 -2.0070 6.7704
9.0703 4.9543 0.8064
2.8192 -0.8508 5.4093
3.2078 2.6298 5.4093
0.0478 3.8788 5.6654
5.9792 0.3982 5.6654
0.0478 3.8788 1.9114
5.9792 0.3982 1.9114
0.0000 0.2434 0.0000
5.9366 4.1645 3.7884
6.0270 3.7240 0.0000
0.0905 0.6839 3.7884
```

Values from the calculation:
- energy relative to the lowest polymorph listed for this composition (eV/atom) = 0.184
- formation energy from the elements (meV/atom) = 198
- SG = No. 46

=====

[3]
This record from the Alexandria database describes crystalline Tb3Pr7Nd2 at its relaxed geometry. The functional is PBE.

Cell and atoms, written as POSCAR:
```
Tb3Pr7Nd2
1.0
-1.5653 2.4931 2.2065
3.5094 -1.7173 4.4298
11.5470 14.0204 -7.6502
Pr Tb Nd
7 3 2
Cartesian
0.0000 0.0000 0.0000
8.8950 6.2065 -0.7027
10.8677 10.7533 -4.4407
1.1365 3.1455 0.3191
12.3547 11.6507 -1.3329
6.1614 6.0966 -2.5176
4.1887 1.5498 1.2203
0.9721 0.3879 3.3182
5.8926 5.2567 1.3076
7.5985 9.5395 -2.3214
3.9557 3.9141 -1.6163
11.1007 8.3890 -1.6040
```

Values from the calculation:
- energy relative to the lowest polymorph listed for this composition (eV/atom) = 0.046
- formation energy from the elements (meV/atom) = 111
- SG = No. 65

=====

[4]
This record from the Alexandria database describes crystalline Tb2PrNd12 at its relaxed geometry. The functional is PBE.

Cell and atoms, written as POSCAR:
```
Tb2PrNd12
1.0
-3.1511 5.1869 3.2101
-1.0090 -6.2744 2.5984
20.0479 2.9511 14.9111
Nd Tb Pr
24 4 2
Cartesian
-1.5920 -0.6284 5.4859
5.6532 0.7666 10.9361
1.9349 0.0473 5.8905
17.4935 2.4186 15.2298
0.0148 2.7077 5.0344
0.4744 -0.0112 2.5856
10.1288 1.6630 9.8137
13.9529 1.8163 14.8291
4.4509 0.4176 7.7618
16.0329 2.3601 11.9249
5.8051 3.5706 9.1427
11.4369 1.4460 12.9578
7.8390 0.7443 8.0017
6.7102 -2.2034 9.0686
9.0117 4.0237 11.8827
6.5310 0.9614 4.8575
15.3997 1.9482 18.1379
14.8020 4.8866 15.9910
10.2486 -1.6636 11.3452
13.5170 1.9897 10.0536
4.0150 0.5910 2.9862
1.1053 -3.0179 4.7014
15.8535 -0.8492 15.7124
8.1546 0.5532 12.6877
13.0099 4.7405 12.4533
14.1730 -0.9767 12.2160
3.7949 3.3840 5.5994
4.9580 -2.3331 5.3621
18.4405 5.5398 16.4924
-0.4726 -3.1325 1.3229
```

Values from the calculation:
- formation energy from the elements (meV/atom) = 150
- SG = No. 67

=====

[5]
This record from the Alexandria database describes crystalline Tb2Pr2Nd at its relaxed geometry. The functional is PBE.

Cell and atoms, written as POSCAR:
```
Tb2Pr2Nd
1.0
-5.1225 -6.4053 4.4144
7.8984 -4.7107 1.4766
-0.5337 6.2952 1.2658
Nd Pr Tb
2 4 4
Cartesian
-4.5799 -1.5612 5.1510
6.8221 -3.2596 2.0058
1.3973 0.0869 2.4377
0.8448 -4.9078 4.7191
0.0560 -3.2699 2.1677
2.1862 -1.5509 4.9892
-1.3581 -1.1419 4.4241
4.9076 -0.3265 3.0104
3.6003 -3.6789 2.7327
-2.6655 -4.4944 4.1464
```

Values from the calculation:
- energy relative to the lowest polymorph listed for this composition (eV/atom) = 0.235
- formation energy from the elements (meV/atom) = 263
- SG = No. 15

=====

[6]
This record from the Alexandria database describes crystalline Tb2Pr3Nd3 at its relaxed geometry. The functional is PBE.

Cell and atoms, written as POSCAR:
```
Tb2Pr3Nd3
1.0
5.1860 0.0000 0.0000
0.0000 5.1869 -0.0021
-2.5930 -2.5977 10.3342
Pr Tb Nd
3 2 3
Cartesian
2.5930 2.5903 7.7046
0.0000 2.5935 -0.0011
0.0000 -0.0011 2.6275
2.5930 -0.0021 5.1694
0.0000 2.5914 5.1627
2.5930 0.0000 0.0000
2.5930 2.5923 2.6294
0.0000 -0.0031 7.7027
```

Values from the calculation:
- energy relative to the lowest polymorph listed for this composition (eV/atom) = 0.000
- formation energy from the elements (meV/atom) = 15
- SG = No. 12

=====

[7]
This record from the Alexandria database describes crystalline Tb12PrNd7 at its relaxed geometry. The functional is PBE.

Cell and atoms, written as POSCAR:
```
Tb12PrNd7
1.0
0.9578 -7.9477 -3.7516
7.9111 1.9375 -3.4378
4.4463 -3.3457 6.8699
Tb Nd Pr
12 7 1
Cartesian
7.3523 -6.1796 2.7564
6.7959 -2.1662 2.0568
8.5695 -4.9570 -3.8831
7.2566 -0.6623 -1.2145
6.0587 -8.6936 0.8949
4.7458 -4.3989 3.5636
3.5592 -5.8730 -2.7225
6.5194 -7.1897 -2.3764
9.4737 -3.0341 -0.9402
9.7561 -3.4829 2.4030
5.9630 -3.1763 -3.0759
3.8416 -6.3218 0.6207
3.0764 -1.6360 1.9152
11.6387 -5.8165 0.3664
1.6766 -3.5394 -0.6859
3.6390 -0.7211 -1.4307
6.6576 -4.6779 -0.1598
9.6763 -8.6348 1.1111
10.2389 -7.7199 -2.2347
0.0000 0.0000 0.0000
```

Values from the calculation:
- energy relative to the lowest polymorph listed for this composition (eV/atom) = 0.000
- formation energy from the elements (meV/atom) = 227
- SG = No. 148

=====

[8]
This record from the Alexandria database describes crystalline Tb5Pr2Nd3 at its relaxed geometry. The functional is PBE.

Cell and atoms, written as POSCAR:
```
Tb5Pr2Nd3
1.0
6.9085 0.0000 0.0000
3.4542 11.6462 2.8760
3.4542 5.8635 10.4654
Pr Tb Nd
4 10 6
Cartesian
10.3627 15.8964 10.8736
6.9085 14.7021 12.4409
3.4542 1.6132 2.4679
6.9085 2.8075 0.9005
8.6356 13.1102 9.9892
8.6356 4.3995 3.3522
5.1814 8.7548 6.6707
6.9085 11.4484 7.6730
8.6356 8.7548 6.6707
3.4542 7.0736 4.3397
6.9085 6.0612 5.6684
10.3627 10.4360 9.0017
5.1814 13.1102 9.9892
5.1814 4.3995 3.3522
6.9085 7.8957 3.0417
10.3627 12.4817 6.5360
3.4542 5.0280 6.8054
5.1814 0.0000 0.0000
6.9085 9.6140 10.2997
1.7271 0.0000 0.0000
```

Values from the calculation:
- energy relative to the lowest polymorph listed for this composition (eV/atom) = 0.197
- formation energy from the elements (meV/atom) = 374
- SG = No. 72

=====

- Look up the formation energy from the elements of the fifth one.
  263 meV/atom